# 1
Here is CaMgNi2 at its PBEsol-relaxed geometry from Alexandria. Energies are from meta-GGA SCAN.

Computed properties:
E	-11.354	eV per atom
calculated formation energy	0.392	eV per atom

a b c (Å): 3.0443 3.0443 24.4707
angles (deg): 90.00 90.00 120.00
Space group R-3m (No. 166, hexagonal axes)
One atom of each set of equivalent atoms:
Ca (0.0000, 0.0000, 0.0000) [3 per cell]
Mg (0.0000, 0.0000, 0.5000) [3 per cell]
Ni (0.0000, 0.0000, 0.2453) [6 per cell]

***

# 2
Here is CaMg2Ni2 at its PBEsol-relaxed geometry from Alexandria. Energies are from meta-GGA SCAN.

Computed properties:
E	-10.472	eV per atom
calculated formation energy	-0.080	eV per atom

a b c (Å): 4.108 4.108 10.919
angles (deg): 90.00 90.00 90.00
Space group I4/mmm (No. 139)
One atom of each set of equivalent atoms:
Ca (0.000, 0.000, 0.000) [2 per cell]
Mg (0.000, 0.500, 0.250) [4 per cell]
Ni (0.000, 0.000, 0.398) [4 per cell]

***

# 3
Here is CaMgNi2 at its PBEsol-relaxed geometry from Alexandria. Energies are from meta-GGA SCAN.

Computed properties:
E	-11.659	eV per atom
calculated formation energy	0.087	eV per atom

a b c (Å): 6.349 6.367 3.160
angles (deg): 90.00 90.00 90.00
Space group Cmmm (No. 65)
One atom of each set of equivalent atoms:
Ca (0.000, 0.000, 0.000) [2 per cell]
Mg (0.000, 0.500, 0.000) [2 per cell]
Ni (0.250, 0.250, 0.500) [4 per cell]

***

# 4
Here is CaMgNi at its PBEsol-relaxed geometry from Alexandria. Energies are from meta-GGA SCAN.

Computed properties:
E	-9.511	eV per atom
calculated formation energy	0.759	eV per atom

a b c (Å): 6.626 6.626 6.626
angles (deg): 90.00 90.00 90.00
Space group F-43m (No. 216)
One atom of each set of equivalent atoms:
Ca (0.000, 0.000, 0.000) [4 per cell]
Mg (0.250, 0.250, 0.750) [4 per cell]
Ni (0.250, 0.250, 0.250) [4 per cell]

***

# 5
Here is CaMgNi at its PBEsol-relaxed geometry from Alexandria. Energies are from meta-GGA SCAN.

Computed properties:
E	-10.195	eV per atom
calculated formation energy	0.075	eV per atom

a b c (Å): 4.4119 4.4119 3.7921
angles (deg): 90.00 90.00 120.00
Space group P-6m2 (No. 187)
One atom of each set of equivalent atoms:
Ca (0.0000, 0.0000, 0.0000) [1 per cell]
Mg (0.6667, 0.3333, 0.5000) [1 per cell]
Ni (0.3333, 0.6667, 0.5000) [1 per cell]

***

# 6
Here is CaMg3Ni at its PBEsol-relaxed geometry from Alexandria. Energies are from meta-GGA SCAN.

Computed properties:
E	-8.210	eV per atom
calculated formation energy	-0.059	eV per atom

a b c (Å): 4.872 4.872 4.872
angles (deg): 90.00 90.00 90.00
Space group Pm-3m (No. 221)
One atom of each set of equivalent atoms:
Ca (0.000, 0.000, 0.000) [1 per cell]
Mg (0.000, 0.500, 0.500) [3 per cell]
Ni (0.500, 0.500, 0.500) [1 per cell]

***

# 7
Here is CaMg2Ni9 at its PBEsol-relaxed geometry from Alexandria. Energies are from meta-GGA SCAN.

Computed properties:
E	-13.911	eV per atom
calculated formation energy	-0.147	eV per atom

a b c (Å): 4.7771 4.7771 23.1803
angles (deg): 90.00 90.00 120.00
Space group R-3m (No. 166, hexagonal axes)
One atom of each set of equivalent atoms:
Ca (0.0000, 0.0000, 0.0000) [3 per cell]
Mg (0.0000, 0.0000, 0.1431) [6 per cell]
Ni (0.0000, 0.0000, 0.3335) [6 per cell]
Ni (0.0000, 0.0000, 0.5000) [3 per cell]
Ni (0.0027, 0.5013, 0.9154) [18 per cell]

***

# 8
Here is Ca4MgSi8Ni3O24 at its PBEsol-relaxed geometry from Alexandria. Energies are from meta-GGA SCAN.

Computed properties:
E	-10.983	eV per atom
raw formation energy	-11336	kJ/mol of formula units

a b c (Å): 9.762 8.845 10.463
angles (deg): 90.00 105.92 90.00
Space group C2 (No. 5)
One atom of each set of equivalent atoms:
Ca (0.000, 0.000, 0.000) [2 per cell]
Ca (0.000, 0.002, 0.500) [2 per cell]
Ca (0.001, 0.405, 0.247) [4 per cell]
Mg (0.000, 0.615, 0.500) [2 per cell]
Si (0.213, 0.109, 0.261) [4 per cell]
Si (0.213, 0.110, 0.762) [4 per cell]
Si (0.213, 0.298, 0.013) [4 per cell]
Si (0.213, 0.298, 0.511) [4 per cell]
Ni (0.000, 0.614, 0.000) [2 per cell]
Ni (0.000, 0.794, 0.250) [4 per cell]
O (0.114, 0.618, 0.195) [4 per cell]
O (0.114, 0.790, 0.945) [4 per cell]
O (0.115, 0.616, 0.697) [4 per cell]
O (0.115, 0.792, 0.445) [4 per cell]
O (0.138, 0.457, 0.463) [4 per cell]
O (0.140, 0.458, 0.966) [4 per cell]
O (0.140, 0.949, 0.214) [4 per cell]
O (0.140, 0.950, 0.715) [4 per cell]
O (0.147, 0.185, 0.879) [4 per cell]
O (0.147, 0.223, 0.129) [4 per cell]
O (0.147, 0.223, 0.629) [4 per cell]
O (0.148, 0.183, 0.379) [4 per cell]

***

> Among the records above, which one has the lowest E?

CaMg2Ni9